The following is a DFT calculation (GGA-PBE) of a relaxed structure of Tm4CN2.

Unit cell a=7.0198 b=7.0198 c=9.9313 alpha=90.00 beta=90.00 gamma=90.00
With the nearest neighbours (Å) after each atom.
Element x y z (fractional)
Tm: 0.2534 0.5093 0.5090  3 N 2.26-2.39, 1 C 2.41
Tm: 0.2529 0.9815 0.5053  2 N 2.28-2.41, 2 C 2.43-2.45
Tm: 0.7471 0.0185 0.0053  2 N 2.28-2.41, 2 C 2.43-2.45
C: 0.0000 0.7412 0.5000  6 Tm 2.41-2.45
Tm: 0.9815 0.2529 0.2447  2 N 2.28-2.41, 2 C 2.43-2.45
Tm: 0.7471 0.9815 0.4947  2 N 2.28-2.41, 2 C 2.43-2.45
Tm: 0.7466 0.4907 0.0090  3 N 2.26-2.39, 1 C 2.41
N: 0.7428 0.5000 0.2500  6 Tm 2.39-2.41
N: 0.5000 0.7428 0.5000  6 Tm 2.39-2.41
N: 0.2488 0.7512 0.1250  4 Tm 2.26-2.28
Tm: 0.9815 0.7471 0.2553  2 N 2.28-2.41, 2 C 2.43-2.45
Tm: 0.0185 0.7471 0.7447  2 N 2.28-2.41, 2 C 2.43-2.45
N: 0.7512 0.7512 0.8750  4 Tm 2.26-2.28
Tm: 0.4907 0.7466 0.7410  3 N 2.26-2.39, 1 C 2.41
N: 0.2488 0.2488 0.3750  4 Tm 2.26-2.28
C: 0.7412 0.0000 0.2500  6 Tm 2.41-2.45
N: 0.2572 0.5000 0.7500  6 Tm 2.39-2.41
Tm: 0.2534 0.4907 0.9910  3 N 2.26-2.39, 1 C 2.41
Tm: 0.7466 0.5093 0.4910  3 N 2.26-2.39, 1 C 2.41
C: 0.2588 0.0000 0.7500  6 Tm 2.41-2.45
N: 0.5000 0.2572 0.0000  6 Tm 2.39-2.41
Tm: 0.5093 0.7466 0.2590  3 N 2.26-2.39, 1 C 2.41
Tm: 0.4907 0.2534 0.7590  3 N 2.26-2.39, 1 C 2.41
N: 0.7512 0.2488 0.6250  4 Tm 2.26-2.28
Tm: 0.5093 0.2534 0.2410  3 N 2.26-2.39, 1 C 2.41
Tm: 0.2529 0.0185 0.9947  2 N 2.28-2.41, 2 C 2.43-2.45
Tm: 0.0185 0.2529 0.7553  2 N 2.28-2.41, 2 C 2.43-2.45
C: 0.0000 0.2588 0.0000  6 Tm 2.41-2.45

Output
Space-group type: P4_122 (91)
Uncorrected energy (eV for the cell shown): -203.288
Energy relative to the elements, uncorrected (kJ/mol of formula units): -681

***

The following is a DFT calculation (GGA-PBE) of a relaxed structure of SrMnHSe2.

Unit cell a=5.1000 b=5.1000 c=3.8582 alpha=90.00 beta=90.00 gamma=90.00
With the nearest neighbours (Å) after each atom.
Element x y z (fractional)
Se: 0.5000 0.0000 0.0000  2 Mn 2.55
Mn: 0.0000 0.0000 0.0000  2 H 1.93
Sr: 0.5000 0.5000 0.5000  8 Se 3.20
H: 0.0000 0.0000 0.5000  2 Mn 1.93
Se: 0.0000 0.5000 0.0000  2 Mn 2.55

Output
Space-group type: P4/mmm (123)
Uncorrected energy (eV for the cell shown): -25.330

***

The following is a DFT calculation (GGA-PBE) of a relaxed structure of Li2TcW.

Unit cell a=4.7586 b=2.5582 c=5.0176 alpha=76.84 beta=90.00 gamma=90.00
With the nearest neighbours (Å) after each atom.
Element x y z (fractional)
Tc: 0.5000 0.2500 0.2500  2 W 2.54, 2 Tc 2.56, 4 Li 2.80
W: 0.5000 0.7500 0.7500  2 Tc 2.54, 2 W 2.56
Li: 0.0000 0.4787 0.4940  4 Li 2.52-2.57, 2 Tc 2.80
Li: 0.0000 0.0213 0.0060  4 Li 2.52-2.57, 2 Tc 2.80

Output
Space-group type: P2/m (10)
E_form (eV/atom): 0.36
Uncorrected energy (eV for the cell shown): -25.725
Energy relative to the lowest polymorph listed for this composition (meV/atom): 140

***

The following is a DFT calculation (GGA-PBE) of a relaxed structure of BaLaRh2.

Unit cell a=3.6674 b=3.6674 c=7.5447 alpha=90.00 beta=90.00 gamma=90.00
With the nearest neighbours (Å) after each atom.
Element x y z (fractional)
Rh: 0.0000 0.0000 0.2973  4 La 3.01, 1 Rh 3.06
La: 0.5000 0.5000 0.5000  8 Rh 3.01
Ba: 0.5000 0.5000 0.0000  8 Rh 3.43, 4 Ba 3.67, 2 La 3.77
Rh: 0.0000 0.0000 0.7027  4 La 3.01, 1 Rh 3.06

Output
Space-group type: P4/mmm (123)
E_form (eV/atom): -0.34
Uncorrected energy (eV for the cell shown): -22.931

***

The following is a DFT calculation (GGA-PBE) of a relaxed structure of ThPaAl2.

Unit cell a=3.2251 b=3.2251 c=10.7405 alpha=81.37 beta=81.37 gamma=60.00
With the nearest neighbours (Å) after each atom.
Element x y z (fractional)
Th: 0.5000 0.5000 0.5000  6 Th 3.23, 6 Al 3.29
Al: 0.7480 0.7480 0.7561  3 Pa 3.18, 6 Al 3.23, 3 Th 3.29
Pa: 0.0000 0.0000 0.0000  6 Al 3.18, 6 Pa 3.23
Al: 0.2520 0.2520 0.2439  3 Pa 3.18, 6 Al 3.23, 3 Th 3.29

Output
Space-group type: R-3m (166)
E_form (eV/atom): -0.01
Uncorrected energy (eV for the cell shown): -24.436
Energy relative to the lowest polymorph listed for this composition (meV/atom): 165

***

The following is a DFT calculation (GGA-PBE) of a relaxed structure of RbRh2F7.

Unit cell a=4.0337 b=6.7811 c=6.7811 alpha=123.54 beta=90.00 gamma=90.00
With the nearest neighbours (Å) after each atom.
Element x y z (fractional)
Rb: 0.0000 0.0000 0.0000  8 F 3.00
Rh: 0.5000 0.6716 0.3284  5 F 1.98-2.05
F: 0.5000 0.0401 0.3472  1 Rh 1.98
F: 0.5000 0.3472 0.0401  1 Rh 1.98
F: 0.5000 0.5000 0.5000  2 Rh 2.05
F: 0.0000 0.3061 0.6939  2 Rh 2.03
F: 0.0000 0.6939 0.3061  2 Rh 2.03
Rh: 0.5000 0.3284 0.6716  5 F 1.98-2.05
F: 0.5000 0.9599 0.6528  1 Rh 1.98
F: 0.5000 0.6528 0.9599  1 Rh 1.98

Output
Space-group type: Cmmm (65)
Uncorrected energy (eV for the cell shown): -45.225
Energy relative to the elements, uncorrected (kJ/mol of formula units): -1588

***

- The lowest uncorrected energy belongs to which entry?
  Tm4CN2

***

What did the fourth record say?
The following is a DFT calculation (GGA-PBE) of a relaxed structure of BaLaRh2.

Unit cell a=3.6674 b=3.6674 c=7.5447 alpha=90.00 beta=90.00 gamma=90.00
With the nearest neighbours (Å) after each atom.
Element x y z (fractional)
Rh: 0.0000 0.0000 0.2973  4 La 3.01, 1 Rh 3.06
La: 0.5000 0.5000 0.5000  8 Rh 3.01
Ba: 0.5000 0.5000 0.0000  8 Rh 3.43, 4 Ba 3.67, 2 La 3.77
Rh: 0.0000 0.0000 0.7027  4 La 3.01, 1 Rh 3.06

Output
Space-group type: P4/mmm (123)
E_form (eV/atom): -0.34
Uncorrected energy (eV for the cell shown): -22.931

***

- Look up the uncorrected energy of the second one.
  -25.330 eV for the cell shown

***

What did the fourth record say?
The following is a DFT calculation (GGA-PBE) of a relaxed structure of BaLaRh2.

Unit cell a=3.6674 b=3.6674 c=7.5447 alpha=90.00 beta=90.00 gamma=90.00
With the nearest neighbours (Å) after each atom.
Element x y z (fractional)
Rh: 0.0000 0.0000 0.2973  4 La 3.01, 1 Rh 3.06
La: 0.5000 0.5000 0.5000  8 Rh 3.01
Ba: 0.5000 0.5000 0.0000  8 Rh 3.43, 4 Ba 3.67, 2 La 3.77
Rh: 0.0000 0.0000 0.7027  4 La 3.01, 1 Rh 3.06

Output
Space-group type: P4/mmm (123)
E_form (eV/atom): -0.34
Uncorrected energy (eV for the cell shown): -22.931